No. 1
DFT (GGA-PBE) results for LaSm2Dy7 after structural relaxation.

Lattice parameters (Å, degrees): 6.194 8.010 8.781 111.52 118.10 58.85
Positions (direct):
1 Dy 0.200 0.402 0.200
2 Dy 0.701 0.899 0.201
3 Dy 0.299 0.101 0.799
4 Dy 0.500 0.500 0.000
5 La 0.000 0.000 0.000
6 Dy 0.800 0.598 0.800
7 Dy 0.100 0.698 0.599
8 Sm 0.401 0.798 0.401
9 Sm 0.599 0.202 0.599
10 Dy 0.900 0.302 0.401

***

No. 2
DFT (GGA-PBE) results for La2Sm7Dy3 after structural relaxation.

Lattice parameters (Å, degrees): 3.574 6.457 18.236 75.44 90.00 90.00
Positions (direct):
1 Dy 0.500 0.500 0.000
2 Dy 0.000 0.888 0.659
3 Sm 0.000 0.000 0.000
4 Sm 0.000 0.560 0.163
5 Sm 0.500 0.062 0.167
6 Sm 0.500 0.938 0.833
7 Dy 0.000 0.112 0.341
8 Sm 0.000 0.440 0.837
9 Sm 0.500 0.761 0.498
10 La 0.500 0.611 0.330
11 Sm 0.500 0.239 0.502
12 La 0.500 0.389 0.670

***

No. 3
DFT (GGA-PBE) results for La12Sm7Dy after structural relaxation.

Lattice parameters (Å, degrees): 8.931 8.931 8.931 89.54 89.54 89.54
Positions (direct):
1 La 0.739 0.281 0.145
2 Sm 0.935 0.860 0.620
3 Sm 0.380 0.065 0.140
4 La 0.516 0.392 0.857
5 Sm 0.065 0.140 0.380
6 La 0.719 0.855 0.261
7 La 0.143 0.484 0.608
8 La 0.855 0.261 0.719
9 Sm 0.140 0.380 0.065
10 La 0.261 0.719 0.855
11 La 0.392 0.857 0.516
12 La 0.608 0.143 0.484
13 Sm 0.500 0.500 0.500
14 Dy 0.000 0.000 0.000
15 La 0.484 0.608 0.143
16 La 0.145 0.739 0.281
17 La 0.281 0.145 0.739
18 Sm 0.620 0.935 0.860
19 Sm 0.860 0.620 0.935
20 La 0.857 0.516 0.392

***

No. 4
DFT (GGA-PBE) results for La2SmDy3 after structural relaxation.

Lattice parameters (Å, degrees): 6.958 7.035 9.281 100.90 112.02 90.00
Positions (direct):
1 La 0.671 0.589 0.352
2 La 0.329 0.411 0.648
3 La 0.681 0.089 0.352
4 Dy 0.141 0.068 0.275
5 Dy 0.737 0.250 0.000
6 Sm 0.264 0.250 0.000
7 Dy 0.134 0.568 0.275
8 Sm 0.736 0.750 0.000
9 La 0.319 0.911 0.648
10 Dy 0.263 0.750 0.000
11 Dy 0.859 0.932 0.725
12 Dy 0.866 0.432 0.725

***

No. 5
DFT (GGA-PBE) results for LaSmDy after structural relaxation.

Lattice parameters (Å, degrees): 4.249 4.249 11.416 90.00 90.00 90.00
Positions (direct):
1 Dy 0.500 0.000 0.761
2 Sm 0.500 0.000 0.086
3 La 0.500 0.000 0.405
4 Sm 0.000 0.500 0.914
5 La 0.000 0.500 0.595
6 Dy 0.000 0.500 0.239

***

No. 6
DFT (GGA-PBE) results for LaSm7Dy3 after structural relaxation.

Lattice parameters (Å, degrees): 6.452 7.765 7.764 81.30 85.62 85.61
Positions (direct):
1 Sm 0.791 0.235 0.235
2 Sm 0.259 0.074 0.424
3 Dy 0.500 0.000 0.000
4 Dy 0.000 0.170 0.830
5 Sm 0.000 0.500 0.500
6 Dy 0.000 0.830 0.170
7 Sm 0.741 0.926 0.576
8 La 0.500 0.500 0.500
9 Sm 0.741 0.576 0.926
10 Sm 0.259 0.424 0.074
11 Sm 0.209 0.765 0.765

***

No. 7
DFT (GGA-PBE) results for La2Sm3Dy2 after structural relaxation.

Lattice parameters (Å, degrees): 3.582 11.672 6.227 76.34 72.86 90.36
Positions (direct):
1 La 0.767 0.139 0.476
2 Dy 0.462 0.714 0.065
3 Sm 0.153 0.556 0.709
4 Sm 0.847 0.444 0.291
5 La 0.233 0.861 0.524
6 Sm 0.000 0.000 0.000
7 Dy 0.538 0.286 0.935

***

No. 8
DFT (GGA-PBE) results for La2Sm4Dy5 after structural relaxation.

Lattice parameters (Å, degrees): 3.556 11.790 9.050 94.56 101.33 90.00
Positions (direct):
1 Dy 0.906 0.460 0.812
2 Dy 0.094 0.540 0.188
3 La 0.715 0.351 0.431
4 Dy 0.177 0.066 0.353
5 Sm 0.033 0.256 0.066
6 Dy 0.500 0.000 0.000
7 Sm 0.967 0.744 0.934
8 Sm 0.360 0.201 0.719
9 La 0.285 0.649 0.569
10 Dy 0.823 0.934 0.647
11 Sm 0.640 0.799 0.281

***

| no. | VASP energy (eV per cell) | ΔE_f (eV/atom) | V (Å³ per cell) |
| --- | --- | --- | --- |
| 1 | -46.39 | 0.019 | 325 |
| 2 | -55.84 | 0.071 | 407 |
| 3 | -93.06 | 0.185 | 712 |
| 4 | -55.08 | 0.140 | 412 |
| 5 | -27.82 | 0.113 | 206 |
| 6 | -49.39 | 0.216 | 383 |
| 7 | -32.53 | 0.099 | 241 |
| 8 | -50.96 | 0.071 | 371 |